Entry from Alexandria: a relaxed KSbAs3 crystal (GGA-PBE).

abc: 6.634 5.398 11.941
angles: 90.00 130.33 90.00
Sites, in units of the cell vectors:
K (0.080, 0.250, 0.831)
K (0.920, 0.750, 0.169)
Sb (0.426, 0.250, 0.402)
Sb (0.574, 0.750, 0.598)
As (0.438, 0.975, 0.183)
As (0.562, 0.475, 0.817)
As (0.197, 0.750, 0.617)
As (0.803, 0.250, 0.383)
As (0.562, 0.025, 0.817)
As (0.438, 0.525, 0.183)

Computed properties:
The spin magnetization comes out at 0.0 Bohr magnetons per cell. The calculation puts the raw total energy at -3.93 eV/atom. The calculation puts the density of states at the Fermi level at 0.036 states/eV/cell. The calculation puts the offset from the most stable computed form at 0 meV/atom.



Entry from Alexandria: a relaxed KZn2Cu crystal (GGA-PBE).

abc: 4.407 4.407 6.632
angles: 69.68 69.68 58.35
Sites, in units of the cell vectors:
Cu (0.426, 0.426, 0.724)
K (0.248, 0.248, 0.251)
Zn (0.071, 0.071, 0.785)
Zn (0.754, 0.754, 0.740)

Computed properties:
The spin magnetization comes out at 0.0 Bohr magnetons per cell. The calculation puts the raw total energy at -1.94 eV/atom. The calculation puts the density of states at the Fermi level at 2.495 states/eV/cell. The formation enthalpy at 0 K is -2 meV per atom.



Entry from Alexandria: a relaxed PmH4 crystal (GGA-PBE).

abc: 4.389 4.389 4.389
angles: 90.00 90.00 90.00
Sites, in units of the cell vectors:
H (0.000, 0.000, 0.000)
H (0.500, 0.000, 0.500)
H (0.000, 0.500, 0.500)
H (0.500, 0.500, 0.000)
Pm (0.500, 0.500, 0.500)

Computed properties:
The spin magnetization comes out at 1.0 Bohr magnetons per cell. The calculation puts the raw total energy at -3.31 eV/atom. The calculation puts the offset from the most stable computed form at 552 meV/atom.



Entry from Alexandria: a relaxed Sm2ZnB3Pt12 crystal (GGA-PBE).

abc: 7.360 7.360 7.360
angles: 65.46 65.46 65.46
Sites, in units of the cell vectors:
Sm (0.606, 0.606, 0.606)
Sm (0.394, 0.394, 0.394)
Zn (0.000, 0.000, 0.000)
B (0.500, 0.000, 0.000)
B (0.000, 0.500, 0.000)
B (0.000, 0.000, 0.500)
Pt (0.326, 0.326, 0.910)
Pt (0.876, 0.876, 0.382)
Pt (0.382, 0.876, 0.876)
Pt (0.910, 0.326, 0.326)
Pt (0.876, 0.382, 0.876)
Pt (0.326, 0.910, 0.326)
Pt (0.674, 0.674, 0.090)
Pt (0.124, 0.124, 0.618)
Pt (0.618, 0.124, 0.124)
Pt (0.090, 0.674, 0.674)
Pt (0.124, 0.618, 0.124)
Pt (0.674, 0.090, 0.674)

Computed properties:
The spin magnetization comes out at 0.0 Bohr magnetons per cell. The calculation puts the raw total energy at -6.18 eV/atom. The calculation puts the density of states at the Fermi level at 6.722 states/eV/cell. The formation enthalpy at 0 K is -443 meV per atom.



Entry from Alexandria: a relaxed Dy2PuAu crystal (GGA-PBE).

abc: 3.566 3.566 8.352
angles: 90.00 90.00 90.00
Sites, in units of the cell vectors:
Dy (0.000, 0.000, 0.787)
Dy (0.000, 0.000, 0.213)
Au (0.500, 0.500, 0.000)
Pu (0.500, 0.500, 0.500)

Computed properties:
The spin magnetization comes out at 6.6 Bohr magnetons per cell. The calculation puts the raw total energy at -7.02 eV/atom. The calculation puts the density of states at the Fermi level at 7.837 states/eV/cell. The calculation puts the offset from the most stable computed form at 0 meV/atom. The formation enthalpy at 0 K is -316 meV per atom.



Entry from Alexandria: a relaxed Pm4Zn2Hg5 crystal (GGA-PBE).

abc: 3.780 7.938 9.509
angles: 87.88 90.00 90.00
Sites, in units of the cell vectors:
Pm (0.500, 0.744, 0.602)
Pm (0.500, 0.201, 0.859)
Pm (0.500, 0.256, 0.398)
Pm (0.500, 0.799, 0.141)
Zn (0.000, 0.061, 0.620)
Zn (0.000, 0.939, 0.380)
Hg (0.000, 0.585, 0.349)
Hg (0.000, 0.139, 0.133)
Hg (0.000, 0.500, 0.000)
Hg (0.000, 0.861, 0.867)
Hg (0.000, 0.415, 0.651)

Computed properties:
The spin magnetization comes out at 0.0 Bohr magnetons per cell. The calculation puts the raw total energy at -2.47 eV/atom. The calculation puts the density of states at the Fermi level at 8.779 states/eV/cell. The formation enthalpy at 0 K is -377 meV per atom.



Entry from Alexandria: a relaxed KMn3In crystal (GGA-PBE).

abc: 4.961 4.961 4.961
angles: 90.00 90.00 90.00
Sites, in units of the cell vectors:
K (0.000, 0.000, 0.000)
Mn (0.000, 0.500, 0.000)
Mn (0.000, 0.000, 0.500)
Mn (0.500, 0.000, 0.000)
In (0.500, 0.500, 0.500)

Computed properties:
The spin magnetization comes out at 11.9 Bohr magnetons per cell. The calculation puts the raw total energy at -4.31 eV/atom. The calculation puts the density of states at the Fermi level at 3.341 states/eV/cell. The calculation puts the offset from the most stable computed form at 913 meV/atom. The formation enthalpy at 0 K is 1961 meV per atom.



Entry from Alexandria: a relaxed K2Tl2Pb15 crystal (GGA-PBE).

abc: 8.777 8.777 8.777
angles: 81.99 81.99 81.99
Sites, in units of the cell vectors:
K (0.338, 0.338, 0.338)
K (0.662, 0.662, 0.662)
Tl (0.099, 0.099, 0.099)
Tl (0.901, 0.901, 0.901)
Pb (0.500, 0.000, 0.000)
Pb (0.000, 0.000, 0.500)
Pb (0.000, 0.500, 0.000)
Pb (0.000, 0.701, 0.299)
Pb (0.701, 0.299, 0.000)
Pb (0.299, 0.000, 0.701)
Pb (0.299, 0.701, 0.000)
Pb (0.701, 0.000, 0.299)
Pb (0.000, 0.299, 0.701)
Pb (0.158, 0.649, 0.649)
Pb (0.649, 0.649, 0.158)
Pb (0.649, 0.158, 0.649)
Pb (0.842, 0.351, 0.351)
Pb (0.351, 0.351, 0.842)
Pb (0.351, 0.842, 0.351)

Computed properties:
The spin magnetization comes out at 0.0 Bohr magnetons per cell. The calculation puts the raw total energy at -3.32 eV/atom. The calculation puts the density of states at the Fermi level at 10.503 states/eV/cell. The formation enthalpy at 0 K is -29 meV per atom.



Entry from Alexandria: a relaxed Pm2NdHoEr2 crystal (GGA-PBE).

abc: 5.653 9.825 7.018
angles: 90.00 90.00 90.00
Sites, in units of the cell vectors:
Pm (0.500, 0.833, 0.252)
Pm (0.500, 0.167, 0.748)
Pm (0.000, 0.667, 0.752)
Pm (0.000, 0.333, 0.248)
Nd (0.000, 0.000, 0.000)
Nd (0.500, 0.500, 0.500)
Ho (0.500, 0.500, 0.000)
Ho (0.000, 0.000, 0.500)
Er (0.500, 0.166, 0.250)
Er (0.000, 0.666, 0.250)
Er (0.500, 0.834, 0.750)
Er (0.000, 0.334, 0.750)

Computed properties:
The spin magnetization comes out at 0.0 Bohr magnetons per cell. The calculation puts the raw total energy at -4.60 eV/atom. The calculation puts the density of states at the Fermi level at 18.635 states/eV/cell. The formation enthalpy at 0 K is 66 meV per atom.